Here is TaPtCl2 after structural relaxation from Alexandria via LeMat-Bulk. Energies are from GGA-PBE.

Calculated values
Uncorrected formation energy ... 56.58 kJ per mole of atoms
Energy above the lowest structure with this stoichiometry ... 1.250 eV per atom
D(E_F) ... 3.226 states/eV per cell

Cell: 4.058 4.058 4.293 Å, 90.00 90.00 90.00°
Fractional positions:
Ta: 0.000 0.000 0.000
Pt: 0.500 0.500 0.000
Cl: 0.000 0.500 0.500
Cl: 0.500 0.000 0.500